{
  "formula": "RbZn2Mo",
  "functional": "PBE",
  "state": "relaxed",
  "lattice_angstrom": [[3.3461, -3.8135, 0.1911], [-0.8182, -3.9425, 3.0924], [-1.2074, -4.5360, -1.9347]],
  "species": ["Zn", "Zn", "Rb", "Mo"],
  "fractional_positions": [[0.7500, 0.7500, 0.7500], [0.2500, 0.2500, 0.2500], [0.0000, 0.0000, 0.0000], [0.5000, 0.5000, 0.5000]],
  "e_above_lowest_polymorph_mev_per_atom": 149.1,
  "formation_energy_ev_per_atom": 1.109,
  "energy_ev_per_atom": -2.478,
  "density_g_cm3": 5.6
}

{
  "formula": "PrTm4Co",
  "functional": "PBE",
  "state": "relaxed",
  "lattice_angstrom": [[6.1291, 0.1713, -0.8347], [0.9659, 3.3444, 0.4150], [-1.1206, 1.1302, 8.3227]],
  "species": ["Tm", "Tm", "Tm", "Tm", "Pr", "Co"],
  "fractional_positions": [[0.1292, 0.2451, 0.3817], [0.8708, 0.7549, 0.6183], [0.4461, 0.8825, 0.7863], [0.5539, 0.1175, 0.2137], [0.0000, 0.0000, 0.0000], [0.5000, 0.5000, 0.5000]],
  "formation_energy_ev_per_atom": -0.059,
  "energy_ev_per_atom": -5.021,
  "density_g_cm3": 9.0
}

{
  "formula": "Tl2Re2Ag",
  "functional": "PBE",
  "state": "relaxed",
  "lattice_angstrom": [[8.4523, 0.0000, 0.0000], [0.0000, 8.4523, 0.0000], [0.0000, 0.0000, 2.9415]],
  "species": ["Re", "Re", "Re", "Re", "Ag", "Ag", "Tl", "Tl", "Tl", "Tl"],
  "fractional_positions": [[0.5971, 0.9029, 0.5000], [0.4029, 0.0971, 0.5000], [0.0971, 0.5971, 0.5000], [0.9029, 0.4029, 0.5000], [0.5000, 0.5000, 0.0000], [0.0000, 0.0000, 0.0000], [0.6926, 0.1926, 0.0000], [0.1926, 0.3074, 0.0000], [0.8074, 0.6926, 0.0000], [0.3074, 0.8074, 0.0000]],
  "e_above_lowest_polymorph_mev_per_atom": 236.6,
  "formation_energy_ev_per_atom": 1.024,
  "energy_ev_per_atom": -5.472,
  "density_g_cm3": 14.1
}

{
  "formula": "AlCu3P",
  "functional": "PBE",
  "state": "relaxed",
  "lattice_angstrom": [[-4.2345, 0.5050, -1.2850], [-1.3408, -0.5143, 4.2161], [0.3296, 4.3952, 0.6410]],
  "species": ["Cu", "Cu", "Cu", "Al", "P"],
  "fractional_positions": [[0.0000, 0.0000, 0.5000], [0.0000, 0.5000, 0.0000], [0.5000, 0.0000, 0.0000], [0.0000, 0.0000, 0.0000], [0.5000, 0.5000, 0.5000]],
  "e_above_lowest_polymorph_mev_per_atom": 640.7,
  "formation_energy_ev_per_atom": 0.943,
  "energy_ev_per_atom": -3.345,
  "density_g_cm3": 4.7
}